Density functional theory data (PBE+U) for a geometry-optimized K3W5O12 structure.

Cell: 11.851 11.851 11.851 Å, 109.47 109.47 109.47°
Atoms (fractional coordinates):
O 0.111 0.422 0.110
O 0.078 0.890 0.389
O 0.312 0.502 0.390
O 0.310 0.422 0.812
O 0.502 0.312 0.890
O 0.578 0.889 0.390
O 0.998 0.389 0.310
O 0.610 0.611 0.422
O 0.502 0.190 0.111
O 0.110 0.922 0.111
O 0.611 0.610 0.922
O 0.188 0.078 0.690
O 0.890 0.078 0.889
O 0.422 0.310 0.312
O 0.389 0.390 0.078
O 0.688 0.498 0.610
O 0.889 0.578 0.890
O 0.998 0.610 0.188
O 0.312 0.810 0.422
O 0.922 0.110 0.611
O 0.078 0.188 0.190
O 0.389 0.998 0.810
O 0.110 0.188 0.498
O 0.002 0.611 0.690
O 0.422 0.111 0.610
O 0.611 0.002 0.190
O 0.190 0.502 0.611
O 0.498 0.810 0.889
O 0.812 0.922 0.310
O 0.498 0.688 0.110
O 0.688 0.190 0.578
O 0.188 0.110 0.998
O 0.812 0.890 0.002
O 0.690 0.111 0.002
O 0.111 0.690 0.502
O 0.922 0.812 0.810
O 0.690 0.578 0.188
O 0.889 0.310 0.498
O 0.190 0.688 0.078
O 0.810 0.498 0.389
O 0.390 0.389 0.578
O 0.890 0.812 0.502
O 0.810 0.312 0.922
O 0.610 0.998 0.688
O 0.310 0.889 0.998
O 0.390 0.002 0.312
O 0.002 0.390 0.812
O 0.578 0.690 0.688
W 0.875 0.250 0.625
W 0.500 0.000 0.000
W 0.500 0.500 0.000
W 0.625 0.750 0.875
W 0.875 0.625 0.750
W 0.000 0.000 0.000
W 0.500 0.500 0.500
W 0.125 0.750 0.375
W 0.375 0.125 0.750
W 0.750 0.625 0.375
W 0.000 0.000 0.500
W 0.625 0.875 0.250
W 0.750 0.125 0.875
W 0.500 0.000 0.500
W 0.250 0.375 0.625
W 0.125 0.375 0.250
W 0.375 0.250 0.125
W 0.000 0.500 0.000
W 0.000 0.500 0.500
W 0.250 0.875 0.125
K 0.750 0.875 0.625
K 0.750 0.375 0.125
K 0.375 0.750 0.625
K 0.250 0.125 0.375
K 0.875 0.750 0.125
K 0.625 0.375 0.750
K 0.625 0.250 0.375
K 0.875 0.125 0.250
K 0.250 0.625 0.875
K 0.125 0.250 0.875
K 0.125 0.875 0.750
K 0.375 0.625 0.250

Its total DFT energy (no corrections) is -6.756 eV/atom.